LiAl2Os (PBE, optimized geometry); DOS at the Fermi energy = 2.36 states/eV per cell; electronic total energy = -5.230 eV/atom; energy of formation = -7 kJ per mole of atoms; offset from the most stable computed form = 0.3296 eV per atom
1.0
-0.704 2.643 -0.158
-2.975 -0.638 2.594
3.252 1.106 4.003
Al Li Os
2 1 1
direct
0.000 0.000 0.967
0.500 0.500 0.269
0.000 0.000 0.499
0.500 0.500 0.765